# 1
Below is a relaxed Ce2NdY crystal, with properties calculated at the PBE level.

DFT total energy ... -0.2024 Ha/atom
V ... 32.90 Å³/atom
Space-group type ... Fm-3m (225)
Energy of formation from the pure elements ... 1.1 eV/f.u.

a b c (Å): 5.710 5.710 5.710
angles (deg): 60.00 60.00 60.00
Site moments in Bohr magnetons follow the coordinates.
Element x y z (fractional)
Y1 0.000 0.000 0.000  0.12
Nd1 0.500 0.500 0.500  0.15
Ce1 0.750 0.750 0.750  0.87
Ce2 0.250 0.250 0.250  0.87

# 2
Below is a relaxed Nb2AlCu2 crystal, with properties calculated at the PBE level.

DFT total energy ... -0.2358 Ha/atom
V ... 15.50 Å³/atom
Space-group type ... P4/mbm (127)
Energy of formation from the pure elements ... 0.0 eV/f.u.

a b c (Å): 6.380 6.380 3.808
angles (deg): 90.00 90.00 90.00
Element x y z (fractional)
Cu1 0.134 0.366 0.000
Cu2 0.366 0.866 0.000
Cu3 0.866 0.634 0.000
Nb1 0.167 0.667 0.500
Nb2 0.333 0.167 0.500
Al1 0.500 0.500 0.000
Cu4 0.634 0.134 0.000
Nb3 0.667 0.833 0.500
Nb4 0.833 0.333 0.500
Al2 0.000 0.000 0.000

# 3
Below is a relaxed AlAsIr2 crystal, with properties calculated at the PBE level.

DFT total energy ... -0.2341 Ha/atom
V ... 15.46 Å³/atom
Space-group type ... F-43m (216)
Energy of formation from the pure elements ... 0.6 eV/f.u.

a b c (Å): 4.439 4.439 4.439
angles (deg): 60.00 60.00 60.00
Element x y z (fractional)
Ir1 0.000 0.000 0.000
As1 0.750 0.750 0.750
Al1 0.500 0.500 0.500
Ir2 0.250 0.250 0.250

# 4
Below is a relaxed TbPr2DyP4 crystal, with properties calculated at the PBE level.

DFT total energy ... -0.2429 Ha/atom
V ... 24.58 Å³/atom
Space-group type ... P2/m (10)
Energy of formation from the pure elements ... -12.4 eV/f.u.

a b c (Å): 4.114 7.122 7.118
angles (deg): 109.46 90.00 90.00
Element x y z (fractional)
P1 0.000 0.746 0.239
Pr1 0.000 0.500 0.500
P2 0.500 0.753 0.761
Pr2 0.500 0.000 0.500
Dy1 0.500 0.500 0.000
P3 0.500 0.247 0.239
Tb1 0.000 0.000 0.000
P4 0.000 0.254 0.761

# 5
Below is a relaxed Sm4Eu2N crystal, with properties calculated at the PBE level.

DFT total energy ... -0.2590 Ha/atom
V ... 32.96 Å³/atom
E_form (uncorrected) ... -0.225 eV/atom
Space-group type ... I4/mmm (139)

a b c (Å): 5.009 5.009 9.856
angles (deg): 75.28 75.28 90.00
Site moments in Bohr magnetons follow the coordinates.
Element x y z (fractional)
Sm1 0.128 0.128 0.743  0.14
N1 0.000 0.000 0.000  0.01
Sm2 0.000 0.500 0.000  0.01
Sm3 0.872 0.872 0.257  0.14
Eu1 0.671 0.671 0.659  6.93
Eu2 0.329 0.329 0.341  6.93
Sm4 0.500 0.000 0.000  0.01

# 6
Below is a relaxed SmDy2Rh crystal, with properties calculated at the PBE level.

DFT total energy ... -0.2141 Ha/atom
V ... 27.31 Å³/atom
Space-group type ... Pnma (62)
Energy of formation from the pure elements ... -2.0 eV/f.u.

a b c (Å): 6.379 7.194 9.522
angles (deg): 90.00 90.00 90.00
Element x y z (fractional)
Dy1 0.330 0.176 0.064
Dy2 0.830 0.324 0.564
Rh1 0.066 0.382 0.250
Sm1 0.362 0.466 0.750
Dy3 0.670 0.824 0.936
Dy4 0.170 0.676 0.064
Sm2 0.862 0.034 0.250
Sm3 0.138 0.966 0.750
Rh2 0.934 0.618 0.750
Dy5 0.670 0.824 0.564
Dy6 0.330 0.176 0.436
Sm4 0.638 0.534 0.250
Dy7 0.170 0.676 0.436
Rh3 0.566 0.118 0.750
Dy8 0.830 0.324 0.936
Rh4 0.434 0.882 0.250

# 7
Below is a relaxed ScBeRe2 crystal, with properties calculated at the PBE level.

DFT total energy ... -0.3171 Ha/atom
V ... 14.78 Å³/atom
Space-group type ... C2/m (12)
Energy of formation from the pure elements ... 0.4 eV/f.u.

a b c (Å): 4.843 4.843 4.589
angles (deg): 73.38 73.38 35.16
Element x y z (fractional)
Sc1 0.750 0.750 0.750
Re1 0.529 0.529 0.463
Re2 0.971 0.971 0.037
Be1 0.250 0.250 0.250

# 8
Below is a relaxed Pr6HOs2Br3 crystal, with properties calculated at the PBE level.

DFT total energy ... -0.2098 Ha/atom
V ... 28.40 Å³/atom
Space-group type ... C2/m (12)

a b c (Å): 7.059 7.059 8.249
angles (deg): 98.23 98.23 120.06
Element x y z (fractional)
Pr1 0.934 0.599 0.803
Br1 0.829 0.171 0.500
Pr2 0.270 0.270 0.804
H1 0.000 0.000 0.000
Pr3 0.599 0.934 0.803
Pr4 0.066 0.401 0.197
Os1 0.333 0.667 0.000
Br2 0.171 0.829 0.500
Pr5 0.401 0.066 0.197
Pr6 0.730 0.730 0.196
Os2 0.667 0.333 0.000
Br3 0.500 0.500 0.500

# 9
Below is a relaxed NiAu2Cl crystal, with properties calculated at the PBE level.

DFT total energy ... -0.1245 Ha/atom
V ... 18.47 Å³/atom
E_form (uncorrected) ... 0.158 eV/atom
Space-group type ... P4mm (99)

a b c (Å): 2.955 2.955 8.460
angles (deg): 90.00 90.00 90.00
Site moments in Bohr magnetons follow the coordinates.
Element x y z (fractional)
Au1 0.000 0.000 0.963  0.00
Au2 0.500 0.500 0.204  -0.01
Cl1 0.000 0.000 0.590  0.19
Ni1 0.500 0.500 0.743  0.88

# 10
Below is a relaxed HfCr2Ru2 crystal, with properties calculated at the PBE level.

DFT total energy ... -0.3493 Ha/atom
V ... 14.68 Å³/atom
Space-group type ... P4/mbm (127)
Energy of formation from the pure elements ... 0.2 eV/f.u.

a b c (Å): 7.245 7.245 2.797
angles (deg): 90.00 90.00 90.00
Site moments in Bohr magnetons follow the coordinates.
Element x y z (fractional)
Ru1 0.674 0.826 0.500  -0.08
Ru2 0.174 0.674 0.500  -0.09
Cr1 0.620 0.120 0.000  0.93
Hf1 0.000 0.000 0.000  0.06
Cr2 0.880 0.620 0.000  0.94
Ru3 0.326 0.174 0.500  -0.08
Ru4 0.826 0.326 0.500  -0.09
Cr3 0.380 0.880 0.000  0.93
Hf2 0.500 0.500 0.000  0.06
Cr4 0.120 0.380 0.000  0.94

# 11
Below is a relaxed KPb3Au8 crystal, with properties calculated at the PBE level.

DFT total energy ... -0.1211 Ha/atom
V ... 22.54 Å³/atom
Space-group type ... P3m1 (156)
Energy of formation from the pure elements ... -1.1 eV/f.u.

a b c (Å): 5.799 5.799 9.287
angles (deg): 90.00 90.00 120.00
Element x y z (fractional)
Au1 0.503 0.497 0.748
Pb1 0.667 0.333 0.054
Au2 0.165 0.835 0.248
Au3 0.333 0.667 0.498
Au4 0.333 0.667 0.993
Au5 0.670 0.835 0.248
Pb2 0.667 0.333 0.436
Pb3 0.000 0.000 0.962
Au6 0.503 0.007 0.748
K1 0.000 0.000 0.569
Au7 0.165 0.330 0.248
Au8 0.993 0.497 0.748

# 12
Below is a relaxed Nd3In7Ni4 crystal, with properties calculated at the PBE level.

DFT total energy ... -0.1622 Ha/atom
V ... 21.52 Å³/atom
Space-group type ... C2/m (12)
Energy of formation from the pure elements ... -5.2 eV/f.u.

a b c (Å): 4.401 8.566 8.962
angles (deg): 69.47 75.79 75.11
Element x y z (fractional)
In1 0.317 0.834 0.531
In2 0.507 0.765 0.222
Nd1 0.311 0.179 0.199
In3 0.836 0.404 0.924
In4 0.000 0.000 0.000
In5 0.164 0.596 0.076
Ni1 0.118 0.103 0.661
Ni2 0.335 0.554 0.777
In6 0.683 0.166 0.469
Ni3 0.665 0.446 0.223
Ni4 0.882 0.897 0.339
In7 0.493 0.235 0.778
Nd2 0.689 0.821 0.801
Nd3 0.000 0.500 0.500